First-principles (PBE) data for crystalline PuTl2AuO8 at its relaxed geometry, as listed in Alexandria via LeMat-Bulk.

Cell lengths 5.019, 5.172, 6.996 Å; angles 85.03, 84.90, 84.25 degrees
Space group P-1 (No. 2)
Symmetry-distinct sites (fractional):
Pu: 0.000 0.000 0.000
Tl: 0.454 0.461 0.262
Au: 0.000 0.000 0.500
O: 0.183 0.129 0.247
O: 0.230 0.180 0.832
O: 0.256 0.666 0.513
O: 0.276 0.678 0.998

Electronic total energy: -6.25 eV per atom

---

First-principles (PBE) data for crystalline YPuAuO6 at its relaxed geometry, as listed in Alexandria via LeMat-Bulk.

Cell lengths 5.7700, 5.7700, 9.0086 Å; angles 90.00, 90.00, 120.00 degrees
Space group P-31c (No. 163)
Symmetry-distinct sites (fractional):
Y: 0.3333 0.6667 0.2500
Pu: 0.3333 0.6667 0.7500
Au: 0.0000 0.0000 0.0000
O: 0.0342 0.3725 0.6307

Electronic total energy: -7.91 eV per atom

---

First-principles (PBE) data for crystalline PuZnAuO6 at its relaxed geometry, as listed in Alexandria via LeMat-Bulk.

Cell lengths 5.3294, 5.3294, 9.2369 Å; angles 90.00, 90.00, 120.00 degrees
Space group P-31c (No. 163)
Symmetry-distinct sites (fractional):
Pu: 0.3333 0.6667 0.2500
Zn: 0.3333 0.6667 0.7500
Au: 0.0000 0.0000 0.0000
O: 0.0119 0.3491 0.1297

Electronic total energy: -6.66 eV per atom

---

First-principles (PBE) data for crystalline RbAu2O2 at its relaxed geometry, as listed in Alexandria via LeMat-Bulk.

Cell lengths 8.887, 9.975, 6.066 Å; angles 90.00, 124.63, 90.00 degrees
Space group C2/c (No. 15)
Symmetry-distinct sites (fractional):
Rb: 0.000 0.123 0.250
Au: 0.000 0.500 0.000
Au: 0.250 0.250 0.000
O: 0.242 0.405 0.196

Electronic total energy: -4.01 eV per atom

---

First-principles (PBE) data for crystalline Rb12Au5O3 at its relaxed geometry, as listed in Alexandria via LeMat-Bulk.

Cell lengths 14.2524, 14.2524, 4.4342 Å; angles 90.00, 90.00, 120.00 degrees
Space group P-62m (No. 189)
Symmetry-distinct sites (fractional):
Rb: 0.0000 0.5411 0.0000
Rb: 0.0000 0.7968 0.0000
Rb: 0.2167 0.4371 0.5000
Au: 0.0000 0.2847 0.0000
Au: 0.3333 0.6667 0.0000
O: 0.0000 0.6668 0.5000

Electronic total energy: -2.73 eV per atom

---

First-principles (PBE) data for crystalline Rb4AuO4 at its relaxed geometry, as listed in Alexandria via LeMat-Bulk.

Cell lengths 8.500, 8.500, 5.664 Å; angles 90.00, 90.00, 90.00 degrees
Space group I4/m (No. 87)
Symmetry-distinct sites (fractional):
Rb: 0.108 0.295 0.000
Au: 0.000 0.000 0.500
O: 0.069 0.228 0.500

Electronic total energy: -3.92 eV per atom

---

Number 1: formation energy without anion corrections -104 kJ per mole of atoms. Number 2: formation energy without anion corrections -186 kJ per mole of atoms. Number 3: formation energy without anion corrections -121 kJ per mole of atoms. Number 4: formation energy without anion corrections -51 kJ per mole of atoms. Number 5: formation energy without anion corrections -57 kJ per mole of atoms. Number 6: formation energy without anion corrections -89 kJ per mole of atoms.